A geometry-optimized NiPbN2F structure, computed with PBE+U.

abc: 4.2514 4.2514 4.3009
angles: 90.00 90.00 90.00
Last column: magnetic moment on the atom in μB.
Sites, in units of the cell vectors:
N1 0.0000 0.5000 0.0000  0.24
Ni1 0.5000 0.5000 0.5000  1.62
F1 0.0000 0.0000 0.5000  0.00
N2 0.5000 0.0000 0.0000  0.24
Pb1 0.0000 0.0000 0.0000  -0.01

Results
N(E_F) = 1.7 states/eV/cell
Polymorph energy (0 for the lowest one) = 760.6 meV per atom
Energy = -3.6948 eV/atom
ρ = 6.7 Mg/m³